[1]
Entry from Alexandria: a geometry-optimized Mg5Fe structure (PBEsol).

Values from the calculation:
E ... -2.733 eV per atom
M_tot ... 4.126 μB/cell

Cell lengths 4.2729, 12.6183, 4.2856 Å; angles 90.00, 90.00, 90.00 degrees
With the nearest neighbours (Å) after each atom.
Space group Cmmm (No. 65)
Inequivalent atoms, fractional coordinates:
Mg1 0.0000 0.0000 0.0000 x2  8 Mg 2.90-2.91, 4 Fe 3.03
Mg2 0.0000 0.1561 0.5000 x4  2 Fe 2.91, 10 Mg 2.91-3.20
Mg3 0.0000 0.3444 0.0000 x4  10 Mg 2.90-3.20, 2 Fe 2.91
Fe1 0.0000 0.5000 0.5000 x2  12 Mg 2.91-3.03

[2]
Entry from Alexandria: a geometry-optimized MgFe3 structure (PBEsol).

Values from the calculation:
E ... -6.800 eV per atom
M_tot ... 20.961 μB/cell

Cell lengths 2.6838, 2.6838, 24.6835 Å; angles 90.00, 90.00, 120.00 degrees
With the nearest neighbours (Å) after each atom.
Space group R-3m (No. 166, hexagonal axes)
Inequivalent atoms, fractional coordinates:
Mg1 0.0000 0.0000 0.0000 x3  6 Mg 2.68, 6 Fe 2.73
Fe1 0.0000 0.0000 0.2421 x6  9 Fe 2.42-2.68
Fe2 0.0000 0.0000 0.5000 x3  12 Fe 2.42-2.68

[3]
Entry from Alexandria: a geometry-optimized Mg3Fe structure (PBEsol).

Values from the calculation:
E ... -3.274 eV per atom
M_tot ... 2.329 μB/cell

Cell lengths 2.9709, 2.9709, 9.5621 Å; angles 90.00, 90.00, 120.00 degrees
With the nearest neighbours (Å) after each atom.
Space group P-6m2 (No. 187)
Inequivalent atoms, fractional coordinates:
Mg1 0.0000 0.0000 0.0000 x1  12 Mg 2.97-3.18
Mg2 0.3333 0.6667 0.2802 x2  3 Fe 2.71, 6 Mg 2.97
Fe1 0.0000 0.0000 0.5000 x1  6 Mg 2.71, 6 Fe 2.97

[4]
Entry from Alexandria: a geometry-optimized MgMnFe structure (PBEsol).

Values from the calculation:
E ... -5.999 eV per atom
M_tot ... 1.340 μB/cell

Cell lengths 5.5026, 5.5026, 5.5026 Å; angles 90.00, 90.00, 90.00 degrees
With the nearest neighbours (Å) after each atom.
Space group F-43m (No. 216)
Inequivalent atoms, fractional coordinates:
Mg1 0.0000 0.0000 0.0000 x4  4 Fe 2.38
Mn1 0.0000 0.0000 0.5000 x4  4 Fe 2.38
Fe1 0.2500 0.2500 0.7500 x4  4 Mn 2.38, 4 Mg 2.38

[5]
Entry from Alexandria: a geometry-optimized MgMnFe structure (PBEsol).

Values from the calculation:
E ... -6.393 eV per atom
M_tot ... 0.411 μB/cell

Cell lengths 2.6336, 2.6336, 6.3825 Å; angles 90.00, 90.00, 120.00 degrees
With the nearest neighbours (Å) after each atom.
Space group P3m1 (No. 156)
Inequivalent atoms, fractional coordinates:
Mg1 0.0000 0.0000 0.0000 x1  6 Mg 2.63, 3 Fe 2.74, 3 Mn 2.78
Mn1 0.6667 0.3333 0.6358 x1  3 Fe 2.34
Fe1 0.3333 0.6667 0.3576 x1  3 Mn 2.34

[6]
Entry from Alexandria: a geometry-optimized MgMn2Fe structure (PBEsol).

Values from the calculation:
E ... -7.162 eV per atom
M_tot ... 1.444 μB/cell

Cell lengths 8.8705, 2.6121, 4.2942 Å; angles 90.00, 107.31, 90.00 degrees
With the nearest neighbours (Å) after each atom.
Space group C2/m (No. 12)
Inequivalent atoms, fractional coordinates:
Mg1 0.0000 0.0000 0.0000 x2  4 Fe 2.51, 2 Mg 2.61, 6 Mn 2.67-2.71
Mn1 0.2269 0.0000 0.7090 x4  2 Fe 2.34, 4 Mn 2.35-2.61
Fe1 0.0000 0.5000 0.5000 x2  4 Mn 2.34, 4 Mg 2.51, 2 Fe 2.61

Number 1: density 2.5 g/cm3. Number 2: density 6.2 g/cm3. Number 3: density 2.9 g/cm3. Number 4: density 5.4 g/cm3. Number 5: density 5.9 g/cm3. Number 6: density 6.6 g/cm3.